# 1
DFT (PBE-GGA) results for a geometry-optimized YGaAu3 structure.

Computed properties:
Its volume is 20.02 Å³ per atom. The energy relative to the elements is -13.8 kcal/mol of atoms. The density of states at the Fermi level is 10.31 states/eV/cell. The calculation puts the polymorph energy (0 for the lowest one) at 0.000 eV per atom.

Lattice parameters (Å, degrees): 9.0870 4.7632 9.2528 90.00 90.00 90.00
Last column: nearest neighbours and their distance in Å.
Space group Pnma (No. 62)
Unique sites:
Y 0.2356 0.2500 0.0042 [4 per cell]  7 Au 3.02-3.20, 3 Ga 3.16-3.26
Ga 0.1135 0.2500 0.6726 [4 per cell]  3 Au 2.52-2.59
Au 0.0729 0.2500 0.3958 [4 per cell]  1 Ga 2.59, 1 Au 2.78
Au 0.1020 0.7500 0.1563 [4 per cell]  2 Ga 2.52-2.59
Au 0.1104 0.7500 0.8441 [4 per cell]  5 Au 2.78-3.07, 2 Ga 2.86, 2 Y 3.03

# 2
DFT (PBE-GGA) results for a geometry-optimized YGaAu4 structure.

Computed properties:
Its volume is 20.03 Å³ per atom. The energy relative to the elements is -10.7 kcal/mol of atoms. The density of states at the Fermi level is 2.17 states/eV/cell. The calculation puts the polymorph energy (0 for the lowest one) at 0.000 eV per atom.

Lattice parameters (Å, degrees): 3.6794 3.7108 8.8666 83.14 89.55 89.89
Last column: nearest neighbours and their distance in Å.
Space group P-1 (No. 2)
Unique sites:
Y 0.0000 0.0000 0.0000 [1 per cell]  10 Au 3.04-3.06
Ga 0.5000 0.5000 0.5000 [1 per cell]  6 Au 2.67-2.87
Au 0.0016 0.0831 0.6551 [2 per cell]  2 Ga 2.67-2.69, 3 Au 2.89-2.96
Au 0.4985 0.4470 0.1798 [2 per cell]  1 Ga 2.87, 5 Au 2.95-3.17, 4 Y 3.05-3.06

# 3
DFT (PBE-GGA) results for a geometry-optimized Y5GaAu4 structure.

Computed properties:
Its volume is 23.41 Å³ per atom. The energy relative to the elements is -18.7 kcal/mol of atoms. The density of states at the Fermi level is 5.47 states/eV/cell.

Lattice parameters (Å, degrees): 3.5903 3.5903 18.1630 90.00 90.00 90.00
Last column: nearest neighbours and their distance in Å.
Space group P4/mmm (No. 123)
Unique sites:
Y 0.0000 0.0000 0.0000 [1 per cell]  8 Au 3.11
Y 0.0000 0.0000 0.2009 [2 per cell]  8 Au 3.13-3.14
Y 0.0000 0.0000 0.4004 [2 per cell]  4 Au 3.10, 4 Ga 3.12
Ga 0.5000 0.5000 0.5000 [1 per cell]  8 Y 3.12
Au 0.5000 0.5000 0.0993 [2 per cell]  8 Y 3.11-3.14
Au 0.5000 0.5000 0.3020 [2 per cell]  8 Y 3.10-3.13

# 4
DFT (PBE-GGA) results for a geometry-optimized Y3Ga2Au structure.

Computed properties:
Its volume is 24.48 Å³ per atom. The energy relative to the elements is -15.0 kcal/mol of atoms. The density of states at the Fermi level is 24.32 states/eV/cell.

Lattice parameters (Å, degrees): 11.7831 4.4677 11.1587 90.00 90.00 90.00
Last column: nearest neighbours and their distance in Å.
Space group Pnma (No. 62)
Unique sites:
Y 0.0482 0.2500 0.1284 [4 per cell]  5 Ga 2.99-3.19, 1 Au 2.99
Y 0.1299 0.7500 0.5726 [4 per cell]  3 Au 3.06-3.07, 5 Ga 3.07-3.22, 1 Y 3.42
Y 0.2135 0.2500 0.8151 [4 per cell]  4 Ga 3.02-3.23, 2 Au 3.02
Ga 0.0125 0.7500 0.3125 [4 per cell]  2 Au 2.73, 1 Y 3.02
Ga 0.1831 0.7500 0.0208 [4 per cell]  1 Au 2.72, 2 Y 2.99
Au 0.1266 0.2500 0.3837 [4 per cell]  3 Ga 2.72-2.73, 3 Y 2.99-3.02

# 5
DFT (PBE-GGA) results for a geometry-optimized YGa2Au2 structure.

Computed properties:
Its volume is 20.31 Å³ per atom. The energy relative to the elements is -13.5 kcal/mol of atoms. The density of states at the Fermi level is 4.69 states/eV/cell.

Lattice parameters (Å, degrees): 4.0371 4.0371 12.4616 90.00 90.00 90.00
Last column: nearest neighbours and their distance in Å.
Space group I4/mmm (No. 139)
Unique sites:
Y 0.0000 0.0000 0.0000 [2 per cell]  8 Au 3.16
Ga 0.0000 0.5000 0.2500 [4 per cell]  4 Au 2.67, 4 Ga 2.85
Au 0.0000 0.0000 0.3904 [4 per cell]  4 Ga 2.67, 1 Au 2.73

# 6
DFT (PBE-GGA) results for a geometry-optimized YGa8Au6 structure.

Computed properties:
Its volume is 20.78 Å³ per atom. The energy relative to the elements is -6.0 kcal/mol of atoms. The density of states at the Fermi level is 13.93 states/eV/cell.

Lattice parameters (Å, degrees): 7.5448 7.5448 18.9654 90.00 90.00 120.00
Last column: nearest neighbours and their distance in Å.
Space group R-3 (No. 148, hexagonal axes)
Unique sites:
Y 0.0000 0.0000 0.0000 [3 per cell]  6 Au 3.02, 6 Ga 3.25
Ga 0.0000 0.0000 0.3353 [6 per cell]  6 Au 2.81-2.83
Ga 0.0080 0.3179 0.1175 [18 per cell]  4 Au 2.64-2.69
Au 0.0056 0.3569 0.9260 [18 per cell]  6 Ga 2.64-2.83

# 7
DFT (PBE-GGA) results for a geometry-optimized YGa2Au structure.

Computed properties:
Its volume is 19.88 Å³ per atom. The energy relative to the elements is -13.3 kcal/mol of atoms. The density of states at the Fermi level is 0.38 states/eV/cell.

Lattice parameters (Å, degrees): 4.3096 4.3096 4.2820 90.00 90.00 90.00
Last column: nearest neighbours and their distance in Å.
Space group P4/mmm (No. 123)
Unique sites:
Y 0.0000 0.0000 0.0000 [1 per cell]  8 Ga 3.04, 4 Au 3.05
Ga 0.0000 0.5000 0.5000 [2 per cell]  4 Y 3.04, 4 Au 3.04, 4 Ga 3.05
Au 0.5000 0.5000 0.0000 [1 per cell]  8 Ga 3.04, 4 Y 3.05

# 8
DFT (PBE-GGA) results for a geometry-optimized Y7Ga2Au2 structure.

Computed properties:
Its volume is 28.50 Å³ per atom. The energy relative to the elements is -7.4 kcal/mol of atoms. The density of states at the Fermi level is 24.43 states/eV/cell.

Lattice parameters (Å, degrees): 7.8305 11.0160 7.2689 90.00 90.00 90.00
Last column: nearest neighbours and their distance in Å.
Space group Cmmm (No. 65)
Unique sites:
Y 0.0000 0.0000 0.0000 [2 per cell]  2 Au 3.22
Y 0.0000 0.5000 0.2628 [4 per cell]  2 Au 2.98, 2 Ga 3.12
Y 0.2500 0.2500 0.2749 [8 per cell]  2 Au 2.84
Ga 0.1672 0.0000 0.5000 [4 per cell]  1 Ga 2.62
Au 0.0000 0.2927 0.0000 [4 per cell]  6 Y 2.84-2.98

# 9
DFT (PBE-GGA) results for a geometry-optimized Y3Ga12Au structure.

Computed properties:
Its volume is 19.33 Å³ per atom. The energy relative to the elements is -9.1 kcal/mol of atoms. The density of states at the Fermi level is 4.99 states/eV/cell.

Lattice parameters (Å, degrees): 4.2877 4.2877 16.8252 90.00 90.00 90.00
Last column: nearest neighbours and their distance in Å.
Space group P4/mmm (No. 123)
Unique sites:
Y 0.0000 0.0000 0.0000 [1 per cell]  12 Ga 3.03-3.04
Y 0.0000 0.0000 0.2564 [2 per cell]  12 Ga 3.04-3.07
Ga 0.0000 0.5000 0.1282 [4 per cell]  8 Ga 2.93-3.04, 4 Y 3.04
Ga 0.0000 0.5000 0.3874 [4 per cell]  2 Au 2.86, 8 Ga 2.86-3.19, 2 Y 3.07
Ga 0.5000 0.5000 0.0000 [1 per cell]  4 Y 3.03, 8 Ga 3.04
Ga 0.5000 0.5000 0.2469 [2 per cell]  8 Ga 2.93-3.19, 4 Y 3.04
Ga 0.5000 0.5000 0.5000 [1 per cell]  8 Ga 2.86, 4 Au 3.03
Au 0.0000 0.0000 0.5000 [1 per cell]  12 Ga 2.86-3.03

# 10
DFT (PBE-GGA) results for a geometry-optimized YGa2Au structure.

Computed properties:
Its volume is 20.25 Å³ per atom. The energy relative to the elements is -13.5 kcal/mol of atoms. The density of states at the Fermi level is 6.99 states/eV/cell.

Lattice parameters (Å, degrees): 8.1869 6.7455 5.8656 90.00 90.00 90.00
Last column: nearest neighbours and their distance in Å.
Space group Pnma (No. 62)
Unique sites:
Y 0.0270 0.2500 0.1470 [4 per cell]  8 Ga 2.98-3.29, 2 Au 3.01-3.06
Ga 0.2075 0.0477 0.5913 [8 per cell]  3 Au 2.66-2.74, 1 Ga 2.73, 1 Y 2.98
Au 0.0680 0.7500 0.3489 [4 per cell]  6 Ga 2.66-2.74

# 11
DFT (PBE-GGA) results for a geometry-optimized YGa2Au2 structure.

Computed properties:
Its volume is 20.70 Å³ per atom. The energy relative to the elements is -8.1 kcal/mol of atoms. The density of states at the Fermi level is 7.82 states/eV/cell.

Lattice parameters (Å, degrees): 7.6417 7.6417 3.5449 90.00 90.00 90.00
Last column: nearest neighbours and their distance in Å.
Space group P4/mbm (No. 127)
Unique sites:
Y 0.0000 0.0000 0.0000 [2 per cell]  4 Au 3.00, 8 Ga 3.33
Ga 0.1740 0.3260 0.5000 [4 per cell]  6 Au 2.76-2.94
Au 0.1299 0.6299 0.0000 [4 per cell]  6 Ga 2.76-2.94, 1 Au 2.81, 2 Y 3.00

# 12
DFT (PBE-GGA) results for a geometry-optimized Y2Ga5Au4 structure.

Computed properties:
Its volume is 20.31 Å³ per atom. The energy relative to the elements is -11.3 kcal/mol of atoms. The density of states at the Fermi level is 16.90 states/eV/cell.

Lattice parameters (Å, degrees): 5.3754 9.0841 18.2986 90.00 90.00 90.00
Last column: nearest neighbours and their distance in Å.
Space group Fmmm (No. 69)
Unique sites:
Y 0.0000 0.0000 0.0984 [8 per cell]  6 Au 3.13-3.15, 6 Ga 3.19-3.23
Ga 0.0000 0.0000 0.5000 [4 per cell]  4 Ga 2.64, 4 Au 2.87
Ga 0.2500 0.2500 0.0000 [8 per cell]  4 Ga 2.64-2.69, 4 Au 2.93
Ga 0.2500 0.2500 0.2500 [8 per cell]  4 Au 2.62, 2 Ga 2.69
Au 0.0000 0.1609 0.3649 [16 per cell]  5 Ga 2.62-2.93, 1 Au 2.92

Q: Which of these has the lowest energy relative to the elements?
A: Y5GaAu4